Computed, not measured: Er2ZrScSb4 after structural relaxation at the GGA-PBE level of DFT.

a b c (Å): 7.342 4.240 7.363
angles (deg): 90.00 109.32 90.00
Sites, in units of the cell vectors:
Er1 0.000 0.000 0.000
Er2 0.500 0.500 0.000
Zr1 0.000 0.500 0.500
Sc1 0.500 0.000 0.500
Sb1 0.247 0.000 0.738
Sb2 0.255 0.500 0.262
Sb3 0.745 0.500 0.738
Sb4 0.753 0.000 0.262

space group: P2/m (10)

---

Computed, not measured: Er3SbSe after structural relaxation at the GGA-PBE level of DFT.

a b c (Å): 8.795 6.504 10.363
angles (deg): 90.00 111.07 90.00
Sites, in units of the cell vectors:
Er1 0.040 0.110 0.321
Er2 0.040 0.390 0.821
Er3 0.192 0.582 0.530
Er4 0.192 0.918 0.030
Er5 0.412 0.186 0.851
Er6 0.412 0.314 0.351
Er7 0.588 0.686 0.649
Er8 0.588 0.814 0.149
Er9 0.808 0.082 0.970
Er10 0.808 0.418 0.470
Er11 0.960 0.610 0.179
Er12 0.960 0.890 0.679
Sb1 0.345 0.688 0.839
Sb2 0.345 0.812 0.339
Sb3 0.655 0.188 0.661
Sb4 0.655 0.312 0.161
Se1 0.116 0.207 0.603
Se2 0.116 0.293 0.103
Se3 0.884 0.707 0.897
Se4 0.884 0.793 0.397

space group: P2_1/c (14)

---

Computed, not measured: ErSb3Se6 after structural relaxation at the GGA-PBE level of DFT.

a b c (Å): 12.056 4.005 12.326
angles (deg): 90.00 104.79 90.00
Sites, in units of the cell vectors:
Er1 0.187 0.250 0.031
Er2 0.813 0.750 0.969
Sb1 0.032 0.750 0.290
Sb2 0.338 0.250 0.426
Sb3 0.402 0.750 0.848
Sb4 0.598 0.250 0.152
Sb5 0.662 0.750 0.574
Sb6 0.968 0.250 0.710
Se1 0.034 0.750 0.899
Se2 0.120 0.250 0.449
Se3 0.222 0.750 0.218
Se4 0.247 0.250 0.803
Se5 0.380 0.750 0.056
Se6 0.396 0.750 0.578
Se7 0.604 0.250 0.422
Se8 0.620 0.250 0.944
Se9 0.753 0.750 0.197
Se10 0.778 0.250 0.782
Se11 0.880 0.750 0.551
Se12 0.966 0.250 0.101

space group: P2_1/m (11)
distance to the lowest polymorph of the same formula: 0.000 eV/atom

---

Computed, not measured: Er4SbSe after structural relaxation at the GGA-PBE level of DFT.

a b c (Å): 5.474 7.034 8.730
angles (deg): 90.00 106.18 90.00
Sites, in units of the cell vectors:
Er1 0.020 0.250 0.029
Er2 0.191 0.750 0.388
Er3 0.364 0.002 0.741
Er4 0.364 0.498 0.741
Er5 0.636 0.502 0.259
Er6 0.636 0.998 0.259
Er7 0.809 0.250 0.612
Er8 0.980 0.750 0.971
Sb1 0.213 0.250 0.409
Sb2 0.787 0.750 0.591
Se1 0.491 0.750 0.998
Se2 0.509 0.250 0.002

space group: P2_1/m (11)

---

Computed, not measured: Er3Sb5Se12 after structural relaxation at the GGA-PBE level of DFT.

a b c (Å): 14.601 14.601 14.601
angles (deg): 109.47 109.47 109.47
Sites, in units of the cell vectors:
Er1 0.125 0.250 0.375
Er2 0.125 0.375 0.750
Er3 0.250 0.375 0.125
Er4 0.250 0.875 0.625
Er5 0.375 0.125 0.250
Er6 0.375 0.750 0.125
Er7 0.625 0.250 0.875
Er8 0.625 0.875 0.750
Er9 0.750 0.125 0.375
Er10 0.750 0.625 0.875
Er11 0.875 0.625 0.250
Er12 0.875 0.750 0.625
Sb1 0.000 0.000 0.000
Sb2 0.000 0.000 0.500
Sb3 0.000 0.500 0.000
Sb4 0.000 0.500 0.500
Sb5 0.125 0.750 0.875
Sb6 0.125 0.875 0.250
Sb7 0.250 0.125 0.875
Sb8 0.250 0.625 0.375
Sb9 0.375 0.250 0.625
Sb10 0.375 0.625 0.750
Sb11 0.500 0.000 0.000
Sb12 0.500 0.000 0.500
Sb13 0.500 0.500 0.000
Sb14 0.500 0.500 0.500
Sb15 0.625 0.375 0.250
Sb16 0.625 0.750 0.375
Sb17 0.750 0.375 0.625
Sb18 0.750 0.875 0.125
Sb19 0.875 0.125 0.750
Sb20 0.875 0.250 0.125
Se1 0.056 0.224 0.140
Se2 0.056 0.332 0.915
Se3 0.084 0.724 0.668
Se4 0.084 0.860 0.415
Se5 0.085 0.640 0.416
Se6 0.085 0.944 0.668
Se7 0.140 0.056 0.224
Se8 0.140 0.585 0.916
Se9 0.168 0.224 0.584
Se10 0.168 0.444 0.585
Se11 0.224 0.140 0.056
Se12 0.224 0.584 0.168
Se13 0.276 0.332 0.916
Se14 0.276 0.444 0.360
Se15 0.332 0.915 0.056
Se16 0.332 0.916 0.276
Se17 0.360 0.276 0.444
Se18 0.360 0.584 0.915
Se19 0.415 0.084 0.860
Se20 0.415 0.832 0.556
Se21 0.416 0.085 0.640
Se22 0.416 0.832 0.776
Se23 0.444 0.360 0.276
Se24 0.444 0.585 0.168
Se25 0.556 0.415 0.832
Se26 0.556 0.640 0.724
Se27 0.584 0.168 0.224
Se28 0.584 0.915 0.360
Se29 0.585 0.168 0.444
Se30 0.585 0.916 0.140
Se31 0.640 0.416 0.085
Se32 0.640 0.724 0.556
Se33 0.668 0.084 0.724
Se34 0.668 0.085 0.944
Se35 0.724 0.556 0.640
Se36 0.724 0.668 0.084
Se37 0.776 0.416 0.832
Se38 0.776 0.860 0.944
Se39 0.832 0.556 0.415
Se40 0.832 0.776 0.416
Se41 0.860 0.415 0.084
Se42 0.860 0.944 0.776
Se43 0.915 0.056 0.332
Se44 0.915 0.360 0.584
Se45 0.916 0.140 0.585
Se46 0.916 0.276 0.332
Se47 0.944 0.668 0.085
Se48 0.944 0.776 0.860

space group: Ia-3d (230)

---

Computed, not measured: Er4SbSe2 after structural relaxation at the GGA-PBE level of DFT.

a b c (Å): 6.853 6.853 13.680
angles (deg): 90.00 90.00 145.57
Sites, in units of the cell vectors:
Er1 0.000 0.000 0.000
Er2 0.000 0.000 0.500
Er3 0.274 0.726 0.624
Er4 0.274 0.726 0.876
Er5 0.428 0.572 0.250
Er6 0.572 0.428 0.750
Er7 0.726 0.274 0.124
Er8 0.726 0.274 0.376
Sb1 0.101 0.899 0.250
Sb2 0.899 0.101 0.750
Se1 0.362 0.638 0.059
Se2 0.362 0.638 0.441
Se3 0.638 0.362 0.559
Se4 0.638 0.362 0.941

space group: Cmcm (63)
distance to the lowest polymorph of the same formula: 0.000 eV/atom

---

Computed, not measured: ErSb2Se4 after structural relaxation at the GGA-PBE level of DFT.

a b c (Å): 6.984 6.984 13.450
angles (deg): 90.00 90.00 144.45
Sites, in units of the cell vectors:
Er1 0.123 0.877 0.750
Er2 0.877 0.123 0.250
Sb1 0.375 0.625 0.562
Sb2 0.375 0.625 0.938
Sb3 0.625 0.375 0.062
Sb4 0.625 0.375 0.438
Se1 0.000 0.000 0.000
Se2 0.000 0.000 0.500
Se3 0.278 0.722 0.124
Se4 0.278 0.722 0.376
Se5 0.482 0.518 0.750
Se6 0.518 0.482 0.250
Se7 0.722 0.278 0.624
Se8 0.722 0.278 0.876

space group: Cmcm (63)

---

Computed, not measured: Er3SbSe6 after structural relaxation at the GGA-PBE level of DFT.

a b c (Å): 8.866 8.866 7.044
angles (deg): 90.00 90.00 103.23
Sites, in units of the cell vectors:
Er1 0.093 0.907 0.500
Er2 0.216 0.416 0.601
Er3 0.416 0.216 0.101
Er4 0.584 0.784 0.601
Er5 0.784 0.584 0.101
Er6 0.907 0.093 0.000
Sb1 0.321 0.679 0.120
Sb2 0.679 0.321 0.620
Se1 0.061 0.598 0.325
Se2 0.133 0.199 0.296
Se3 0.199 0.133 0.796
Se4 0.268 0.732 0.737
Se5 0.402 0.939 0.325
Se6 0.492 0.508 0.372
Se7 0.508 0.492 0.872
Se8 0.598 0.061 0.825
Se9 0.732 0.268 0.237
Se10 0.801 0.867 0.296
Se11 0.867 0.801 0.796
Se12 0.939 0.402 0.825

space group: Cmc2_1 (36)

---

Number 1: formation energy (no corrections) -21.437 kcal/mol of atoms, DFT total energy -47.93 eV per cell. Number 2: formation energy (no corrections) -21.761 kcal/mol of atoms, DFT total energy -104.05 eV per cell. Number 3: formation energy (no corrections) -15.047 kcal/mol of atoms, DFT total energy -88.72 eV per cell. Number 4: formation energy (no corrections) -17.543 kcal/mol of atoms, DFT total energy -60.85 eV per cell. Number 5: formation energy (no corrections) -14.987 kcal/mol of atoms, DFT total energy -356.45 eV per cell. Number 6: formation energy (no corrections) -29.302 kcal/mol of atoms, DFT total energy -76.47 eV per cell. Number 7: formation energy (no corrections) -14.954 kcal/mol of atoms, DFT total energy -62.57 eV per cell. Number 8: formation energy (no corrections) -32.074 kcal/mol of atoms, DFT total energy -105.25 eV per cell.